Compound: FePbI3
Source: Alexandria
Functional: SCAN
Structure: PBEsol geometry

Calculated values
Its density of states at the Fermi level is 9.1 states/eV/cell. For the volume, the calculation gives 45.34 Å³/atom. The raw formation energy comes out at 413.2 meV/atom.

a = 6.098 Å, b = 6.098 Å, c = 6.098 Å
α = 90.00°, β = 90.00°, γ = 90.00°
Space group Pm-3m (No. 221)
One atom of each set of equivalent atoms:
Fe1 0.000 0.000 0.000 x1
Pb1 0.500 0.500 0.500 x1
I1 0.000 0.500 0.500 x3

=====

Compound: FePb2I
Source: Alexandria
Functional: SCAN
Structure: PBEsol geometry

Calculated values
Its density of states at the Fermi level is 19.1 states/eV/cell. For the volume, the calculation gives 26.60 Å³/atom. The raw formation energy comes out at 727.7 meV/atom.

a = 7.522 Å, b = 7.522 Å, c = 7.522 Å
α = 90.00°, β = 90.00°, γ = 90.00°
Space group Fm-3m (No. 225)
One atom of each set of equivalent atoms:
Fe1 0.000 0.000 0.000 x4
Pb1 0.250 0.250 0.250 x8
I1 0.000 0.000 0.500 x4

=====

Compound: Sr2FePbI
Source: Alexandria
Functional: SCAN
Structure: PBEsol geometry

Calculated values
Its density of states at the Fermi level is 0.1 states/eV/cell. For the volume, the calculation gives 39.56 Å³/atom. The raw formation energy comes out at -348.4 meV/atom.

a = 6.341 Å, b = 6.341 Å, c = 4.920 Å
α = 90.00°, β = 90.00°, γ = 90.00°
Space group P4/mmm (No. 123)
One atom of each set of equivalent atoms:
Sr1 0.000 0.500 0.000 x2
Fe1 0.000 0.000 0.500 x1
Pb1 0.000 0.000 0.000 x1
I1 0.500 0.500 0.500 x1

=====

Compound: FeTe2PbI
Source: Alexandria
Functional: SCAN
Structure: PBEsol geometry

Calculated values
Its density of states at the Fermi level is 3.8 states/eV/cell. For the volume, the calculation gives 27.90 Å³/atom. The raw formation energy comes out at 173.2 meV/atom.

a = 5.067 Å, b = 5.067 Å, c = 5.435 Å
α = 90.00°, β = 90.00°, γ = 90.00°
Space group P4/mmm (No. 123)
One atom of each set of equivalent atoms:
Fe1 0.000 0.000 0.000 x1
Te1 0.000 0.500 0.000 x2
Pb1 0.500 0.500 0.500 x1
I1 0.000 0.000 0.500 x1

=====

Compound: ZrFe2PbI
Source: Alexandria
Functional: SCAN
Structure: PBEsol geometry

Calculated values
Its density of states at the Fermi level is 5.0 states/eV/cell. For the volume, the calculation gives 26.37 Å³/atom. The raw formation energy comes out at 1018.2 meV/atom.

a = 4.867 Å, b = 4.867 Å, c = 5.566 Å
α = 90.00°, β = 90.00°, γ = 90.00°
Space group P4/mmm (No. 123)
One atom of each set of equivalent atoms:
Zr1 0.000 0.000 0.000 x1
Fe1 0.000 0.500 0.500 x2
Pb1 0.000 0.000 0.500 x1
I1 0.500 0.500 0.000 x1

=====

Compound: FePd3I
Source: Alexandria
Functional: SCAN
Structure: PBEsol geometry

Calculated values
The distance to the lowest polymorph of the same formula comes out at 0 meV per atom. Its density of states at the Fermi level is 2.0 states/eV/cell. For the volume, the calculation gives 19.63 Å³/atom. The raw formation energy comes out at 625.5 meV/atom.

a = 4.613 Å, b = 4.613 Å, c = 4.613 Å
α = 90.00°, β = 90.00°, γ = 90.00°
Space group Pm-3m (No. 221)
One atom of each set of equivalent atoms:
Fe1 0.000 0.000 0.000 x1
Pd1 0.000 0.000 0.500 x3
I1 0.500 0.500 0.500 x1

=====

Compound: YFe2PdI
Source: Alexandria
Functional: SCAN
Structure: PBEsol geometry

Calculated values
Its density of states at the Fermi level is 3.1 states/eV/cell. For the volume, the calculation gives 23.80 Å³/atom. The raw formation energy comes out at 1483.4 meV/atom.

a = 4.614 Å, b = 4.614 Å, c = 5.589 Å
α = 90.00°, β = 90.00°, γ = 90.00°
Space group P4/mmm (No. 123)
One atom of each set of equivalent atoms:
Y1 0.000 0.000 0.000 x1
Fe1 0.000 0.500 0.000 x2
Pd1 0.500 0.500 0.500 x1
I1 0.000 0.000 0.500 x1

=====

Compound: ZnFePd2I
Source: Alexandria
Functional: SCAN
Structure: PBEsol geometry

Calculated values
Its density of states at the Fermi level is 2.5 states/eV/cell. For the volume, the calculation gives 19.79 Å³/atom. The raw formation energy comes out at 618.3 meV/atom.

a = 4.652 Å, b = 4.652 Å, c = 4.572 Å
α = 90.00°, β = 90.00°, γ = 90.00°
Space group P4/mmm (No. 123)
One atom of each set of equivalent atoms:
Zn1 0.000 0.000 0.000 x1
Fe1 0.000 0.000 0.500 x1
Pd1 0.000 0.500 0.500 x2
I1 0.500 0.500 0.000 x1

=====

Compound: RbFeI3
Source: Alexandria
Functional: SCAN
Structure: PBEsol geometry

Calculated values
Its density of states at the Fermi level is 4.5 states/eV/cell. For the volume, the calculation gives 34.08 Å³/atom. The raw formation energy comes out at -666.0 meV/atom.

a = 5.544 Å, b = 5.544 Å, c = 5.544 Å
α = 90.00°, β = 90.00°, γ = 90.00°
Space group Pm-3m (No. 221)
One atom of each set of equivalent atoms:
Rb1 0.000 0.000 0.000 x1
Fe1 0.500 0.500 0.500 x1
I1 0.000 0.500 0.500 x3

=====

Compound: Rb2FeI4
Source: Alexandria
Functional: SCAN
Structure: PBEsol geometry

Calculated values
For the volume, the calculation gives 41.56 Å³/atom. The raw formation energy comes out at -1090.0 meV/atom.

a = 7.518 Å, b = 7.992 Å, c = 10.288 Å
α = 90.00°, β = 109.73°, γ = 90.00°
Space group P2_1 (No. 4)
One atom of each set of equivalent atoms:
Rb1 0.201 0.000 0.038 x2
Rb2 0.293 0.999 0.586 x2
Fe1 0.195 0.510 0.786 x2
I1 0.020 0.750 0.276 x2
I2 0.033 0.261 0.281 x2
I3 0.363 0.516 0.051 x2
I4 0.414 0.514 0.640 x2

=====

Compound: RbFe2WI
Source: Alexandria
Functional: SCAN
Structure: PBEsol geometry

Calculated values
Its density of states at the Fermi level is 2.6 states/eV/cell. For the volume, the calculation gives 23.51 Å³/atom. The raw formation energy comes out at 2098.5 meV/atom.

a = 4.831 Å, b = 4.831 Å, c = 5.037 Å
α = 90.00°, β = 90.00°, γ = 90.00°
Space group P4/mmm (No. 123)
One atom of each set of equivalent atoms:
Rb1 0.000 0.000 0.000 x1
Fe1 0.000 0.500 0.500 x2
W1 0.500 0.500 0.000 x1
I1 0.500 0.500 0.500 x1

=====

Compound: Ti2FeReI
Source: Alexandria
Functional: SCAN
Structure: PBEsol geometry

Calculated values
Its density of states at the Fermi level is 5.4 states/eV/cell. For the volume, the calculation gives 20.08 Å³/atom. The raw formation energy comes out at 1798.4 meV/atom.

a = 4.806 Å, b = 4.806 Å, c = 4.347 Å
α = 90.00°, β = 90.00°, γ = 90.00°
Space group P4/mmm (No. 123)
One atom of each set of equivalent atoms:
Ti1 0.000 0.500 0.000 x2
Fe1 0.000 0.000 0.500 x1
Re1 0.500 0.500 0.500 x1
I1 0.000 0.000 0.000 x1